Record 1
A plane-wave DFT calculation with PBE was carried out for crystalline Ca3TlO at its relaxed geometry.

Results
Calculated volume = 28.61 Å³ per atom
Uncorrected formation energy = -1.2619 eV per atom
Calculated total energy = -39.278 eV per cell

a b c (Å): 3.843 6.348 12.210
angles (deg): 76.77 80.95 89.99
Space group P-1 (No. 2)
Symmetry-distinct sites (fractional):
Ca  0.051  0.269  0.398 (multiplicity 2)
Ca  0.173  0.017  0.153 (multiplicity 2)
Ca  0.325  0.504  0.850 (multiplicity 2)
Tl  0.437  0.248  0.628 (multiplicity 2)
O  0.145  0.320  0.210 (multiplicity 2)


Record 2
A plane-wave DFT calculation with PBE was carried out for crystalline Ca3TlO at its relaxed geometry.

Results
Calculated volume = 30.34 Å³ per atom
Uncorrected formation energy = -1.2794 eV per atom
Calculated total energy = -157.811 eV per cell

a b c (Å): 13.239 13.009 7.209
angles (deg): 90.00 102.14 90.00
Space group C2/c (No. 15)
Symmetry-distinct sites (fractional):
Ca  0.126  0.123  0.164 (multiplicity 8)
Ca  0.128  0.266  0.658 (multiplicity 8)
Ca  0.157  0.473  0.033 (multiplicity 8)
Tl  0.000  0.072  0.750 (multiplicity 4)
Tl  0.000  0.341  0.250 (multiplicity 4)
O  0.207  0.408  0.771 (multiplicity 8)


Record 3
A plane-wave DFT calculation with PBE was carried out for crystalline Ca3TlO at its relaxed geometry.

Results
Calculated volume = 44.93 Å³ per atom
Uncorrected formation energy = -0.8685 eV per atom
Calculated total energy = -53.015 eV per cell

a b c (Å): 9.1498 9.1498 9.2956
angles (deg): 90.00 90.00 120.00
Space group R3m (No. 160, hexagonal axes)
Symmetry-distinct sites (fractional):
Ca  0.2027  0.4054  0.0000 (multiplicity 9)
Tl  0.0000  0.0000  0.0532 (multiplicity 3)
O  0.0000  0.0000  0.3862 (multiplicity 3)